Record 1
# CdGa4Ni5 PBE optimized geometry
# ρ ... 8.733 g/cm3
# Uncorrected energy ... -4.50 eV/atom
data_CdGa4Ni5
_symmetry_space_group_name_H-M 'P 4/m m m'
_symmetry_Int_Tables_number 123
_symmetry_space_group_name_Hall '-P 4 2'
_cell_length_a 2.944
_cell_length_b 2.944
_cell_length_c 15.018
_cell_angle_alpha 90.00
_cell_angle_beta 90.00
_cell_angle_gamma 90.00
loop_
_atom_site_label
_atom_site_fract_x
_atom_site_fract_y
_atom_site_fract_z
_atom_site_occupancy
Cd1 0.000 0.000 0.000 1
Ga1 0.000 0.000 0.213 1
Ga2 0.000 0.000 0.405 1
Ni1 0.500 0.500 0.126 1
Ni2 0.500 0.500 0.311 1
Ni3 0.500 0.500 0.500 1


Record 2
# ReP2OsS PBE optimized geometry
# ΔE_f (raw) ... 1473.7 meV/atom
# Excess energy over the best structure of this formula in the dataset ... 33 meV/atom
# ρ ... 7.964 g/cm3
# Uncorrected energy ... -6.25 eV/atom
data_ReP2OsS
_symmetry_space_group_name_H-M 'P 4/m m m'
_symmetry_Int_Tables_number 123
_symmetry_space_group_name_Hall '-P 4 2'
_cell_length_a 4.439
_cell_length_b 4.439
_cell_length_c 4.978
_cell_angle_alpha 90.00
_cell_angle_beta 90.00
_cell_angle_gamma 90.00
loop_
_atom_site_label
_atom_site_fract_x
_atom_site_fract_y
_atom_site_fract_z
_atom_site_occupancy
Re1 0.000 0.000 0.000 1
P1 0.000 0.500 0.500 1
Os1 0.500 0.500 0.500 1
S1 0.500 0.500 0.000 1